1.
Computed, not measured: a relaxed AcPr12Nd5 crystal at the PBE-GGA level of DFT.

Properties
ΔE_f	0.01	eV/atom
DOS(E_F)	1.657	states/eV per atom

```
AcPr12Nd5
1.0
7.888 -7.894 0.000
7.888 7.894 0.000
0.000 0.000 5.264
Ac Pr Nd
1 12 5
Cartesian
0.000 0.000 0.000
2.654 2.650 0.000
13.122 -2.650 0.000
5.264 2.614 2.632
7.888 5.216 2.632
7.888 2.614 0.000
2.654 -2.650 0.000
5.264 -2.614 2.632
10.512 2.614 2.632
13.122 2.650 0.000
7.888 -2.614 0.000
7.888 -5.216 2.632
10.512 -2.614 2.632
2.672 0.000 2.632
5.259 0.000 0.000
7.888 0.000 2.632
10.517 0.000 0.000
13.104 0.000 2.632
```

=====

2.
Computed, not measured: a relaxed AcPrAu2 crystal at the PBE-GGA level of DFT.

Properties
ΔE_f	-0.75	eV/atom
excess energy over the best structure of this formula in the dataset	40	meV per atom
DOS(E_F)	0.650	states/eV per atom

```
AcPrAu2
1.0
3.833 0.000 0.000
0.000 3.833 0.000
0.000 0.000 7.626
Ac Pr Au
1 1 2
Cartesian
0.000 0.000 0.000
0.000 0.000 3.813
1.916 1.916 2.052
1.916 1.916 5.573
```

=====

3.
Computed, not measured: a relaxed PuZr2Ir crystal at the PBE-GGA level of DFT.

Properties
ΔE_f	-0.34	eV/atom
excess energy over the best structure of this formula in the dataset	0	meV per atom
DOS(E_F)	1.371	states/eV per atom

```
PuZr2Ir
1.0
3.305 0.000 0.000
0.000 3.305 0.000
0.000 0.000 7.634
Pu Zr Ir
1 2 1
Cartesian
0.000 0.000 0.000
1.652 1.652 2.179
1.652 1.652 5.455
0.000 0.000 3.817
```

=====

4.
Computed, not measured: a relaxed ReTcN2 crystal at the PBE-GGA level of DFT.

Properties
ΔE_f (raw)	109	kJ/mol of formula units
excess energy over the best structure of this formula in the dataset	3	meV per atom
DOS(E_F)	0.737	states/eV per atom

```
ReTcN2
1.0
-2.313 2.313 4.582
2.313 -2.313 4.582
2.313 2.313 -4.582
Re Tc N
2 2 4
Cartesian
0.000 0.000 0.000
0.000 2.313 2.291
2.313 0.000 2.291
0.000 0.000 4.582
3.469 1.114 -1.145
1.114 1.156 1.145
-1.156 1.199 3.436
1.199 1.156 5.727
```

=====

5.
Computed, not measured: a relaxed TiOsPt2 crystal at the PBE-GGA level of DFT.

Properties
ΔE_f	-0.05	eV/atom
DOS(E_F)	0.658	states/eV per atom

```
TiOsPt2
1.0
-1.892 1.892 9.216
1.892 -1.892 9.216
1.892 1.892 -9.216
Ti Os Pt
2 2 4
Cartesian
0.000 0.000 0.000
0.000 1.892 4.608
1.892 0.000 4.608
0.000 0.000 9.216
0.946 -0.932 6.912
0.960 0.946 2.304
0.946 2.824 -2.304
0.932 0.946 11.520
```

=====

6.
Computed, not measured: a relaxed LaTcRu2 crystal at the PBE-GGA level of DFT.

Properties
ΔE_f	0.63	eV/atom
excess energy over the best structure of this formula in the dataset	499	meV per atom
DOS(E_F)	1.412	states/eV per atom

```
LaTcRu2
1.0
1.558 -2.437 0.000
1.558 2.437 0.000
0.000 0.000 9.089
La Tc Ru
1 1 2
Cartesian
0.000 0.000 0.000
1.558 0.000 6.543
0.000 0.000 4.527
1.558 0.000 2.409
```

=====

7.
Computed, not measured: a relaxed CoSb2Pb crystal at the PBE-GGA level of DFT.

Properties
ΔE_f (raw)	79	kJ/mol of formula units
DOS(E_F)	0.770	states/eV per atom

```
CoSb2Pb
1.0
-1.623 2.617 5.654
1.623 -2.617 5.654
1.623 2.617 -5.654
Co Sb Pb
1 2 1
Cartesian
0.000 0.000 0.000
1.623 0.000 2.029
0.000 2.617 3.626
0.000 0.000 5.654
```

=====

8.
Computed, not measured: a relaxed Hf2NpTl crystal at the PBE-GGA level of DFT.

Properties
ΔE_f	0.25	eV/atom
excess energy over the best structure of this formula in the dataset	0	meV per atom
DOS(E_F)	1.768	states/eV per atom

```
Hf2NpTl
1.0
1.627 0.939 10.146
-1.627 0.939 10.146
0.000 -1.879 10.146
Hf Np Tl
2 1 1
Cartesian
0.000 0.000 7.581
0.000 0.000 22.857
0.000 0.000 15.219
0.000 0.000 0.000
```

=====

9.
Computed, not measured: a relaxed Hf2VTc crystal at the PBE-GGA level of DFT.

Properties
ΔE_f	0.50	eV/atom
excess energy over the best structure of this formula in the dataset	694	meV per atom
DOS(E_F)	1.267	states/eV per atom

```
Hf2VTc
1.0
-3.626 3.626 2.862
3.626 -3.626 2.862
3.626 3.626 -2.862
Hf V Tc
4 2 2
Cartesian
5.439 1.715 -0.716
1.715 1.813 0.716
-1.813 1.910 2.147
1.910 1.813 3.578
3.626 0.000 1.431
0.000 0.000 2.862
0.000 0.000 0.000
0.000 3.626 1.431
```

=====

10.
Computed, not measured: a relaxed Li2ZrF crystal at the PBE-GGA level of DFT.

Properties
ΔE_f (raw)	56	kJ/mol of formula units
excess energy over the best structure of this formula in the dataset	914	meV per atom
DOS(E_F)	0.404	states/eV per atom

```
Li2ZrF
1.0
0.000 3.342 3.342
3.342 0.000 3.342
3.342 3.342 0.000
Li Zr F
2 1 1
Cartesian
1.671 1.671 1.671
5.012 5.012 5.012
0.000 0.000 0.000
3.342 3.342 3.342
```

=====

11.
Computed, not measured: a relaxed Ta2TcB6 crystal at the PBE-GGA level of DFT.

Properties
ΔE_f	-0.48	eV/atom
DOS(E_F)	0.334	states/eV per atom

```
Ta2TcB6
1.0
5.288 0.000 0.000
-2.644 4.579 0.000
0.000 0.000 3.375
Ta Tc B
2 1 6
Cartesian
0.000 3.053 0.000
2.644 1.526 0.000
0.000 0.000 0.000
-0.876 1.518 1.688
-1.767 3.061 1.688
1.753 0.000 1.688
0.876 1.518 1.688
3.535 0.000 1.688
1.767 3.061 1.688
```

=====

12.
Computed, not measured: a relaxed HoErPd4 crystal at the PBE-GGA level of DFT.

Properties
ΔE_f	-0.63	eV/atom
excess energy over the best structure of this formula in the dataset	189	meV per atom
DOS(E_F)	0.399	states/eV per atom

```
HoErPd4
1.0
3.938 0.000 0.000
0.000 3.938 0.000
0.000 0.000 8.358
Ho Er Pd
1 1 4
Cartesian
0.000 0.000 0.000
1.969 1.969 4.179
0.000 1.969 2.096
0.000 1.969 6.262
1.969 0.000 2.096
1.969 0.000 6.262
```

=====

The calculation returns the following spin magnetization values, one per record and in order: 0.000; 0.000; 5.386; 0.000; 0.000; 0.000; 0.414; 3.764; 2.362; 3.006; 0.000; 0.000 μB per cell.